Here is an optimized crystal structure of RbSiHgS4 from the Alexandria database. Energies are from PBE-GGA.

Cell and atoms, written as POSCAR:
```
RbSiHgS4
1.0
6.542 0.000 0.000
0.000 6.364 0.000
-2.572 0.000 9.746
Rb Si Hg S
2 2 2 8
direct
0.229 0.250 0.032 Rb
0.771 0.750 0.968 Rb
0.230 0.750 0.292 Si
0.770 0.250 0.708 Si
0.222 0.250 0.614 Hg
0.778 0.750 0.386 Hg
0.015 0.006 0.298 S
0.015 0.494 0.298 S
0.358 0.750 0.124 S
0.480 0.750 0.486 S
0.520 0.250 0.514 S
0.642 0.250 0.876 S
0.985 0.506 0.702 S
0.985 0.994 0.702 S
```

Output
**Raw formation energy**: -0.533 eV per atom
**Crystal system**: monoclinic
**SG**: P2_1/m (11)



Here is an optimized crystal structure of RbSm2HgS4 from the Alexandria database. Energies are from PBE-GGA.

Cell and atoms, written as POSCAR:
```
RbSm2HgS4
1.0
2.099 -7.025 0.000
2.099 7.025 0.000
0.000 0.000 14.659
Rb Sm Hg S
2 4 2 8
direct
0.121 0.879 0.750 Rb
0.879 0.121 0.250 Rb
0.375 0.625 0.556 Sm
0.375 0.625 0.944 Sm
0.625 0.375 0.056 Sm
0.625 0.375 0.444 Sm
0.161 0.839 0.250 Hg
0.839 0.161 0.750 Hg
0.000 0.000 0.000 S
0.000 0.000 0.500 S
0.261 0.739 0.100 S
0.261 0.739 0.400 S
0.444 0.556 0.750 S
0.556 0.444 0.250 S
0.739 0.261 0.600 S
0.739 0.261 0.900 S
```

Output
**Raw formation energy**: -1.382 eV per atom
**Crystal system**: orthorhombic
**SG**: Cmcm (63)



Here is an optimized crystal structure of Rb2SmHg2S4 from the Alexandria database. Energies are from PBE-GGA.

Cell and atoms, written as POSCAR:
```
Rb2SmHg2S4
1.0
8.177 -2.058 0.000
8.177 2.058 0.000
-3.277 0.000 7.655
Rb Sm Hg S
2 1 2 4
direct
0.126 0.126 0.061 Rb
0.874 0.874 0.939 Rb
0.000 0.000 0.500 Sm
0.311 0.311 0.476 Hg
0.689 0.689 0.524 Hg
0.185 0.185 0.724 S
0.475 0.475 0.714 S
0.525 0.525 0.286 S
0.815 0.815 0.276 S
```

Output
**Raw formation energy**: -0.981 eV per atom
**Crystal system**: monoclinic
**SG**: C2/m (12)